DFT (PBE-GGA) results for a geometry-optimized Nd2ScBe3Pt4 structure.

The final energy comes out at -5.999 eV/atom. The calculation puts the formation energy at -847 kJ/mol of formula units.

The space group is P-4m2 (No. 115) and the conventional cell measures 4.063, 4.063 and 10.677 Å, with angles of 90.00, 90.00 and 90.00 degrees. Symmetry generates all atoms from Nd at (0.000, 0.500, 0.231), Sc at (0.000, 0.000, 0.500), Be at (0.000, 0.500, 0.889), Be at (0.500, 0.500, 0.500), Pt at (0.000, 0.000, 0.000), Pt at (0.000, 0.500, 0.658) and Pt at (0.500, 0.500, 0.000).